A plane-wave DFT calculation with PBE was carried out for a geometry-optimized PmCd10Au2 structure.

```
PmCd10Au2
1.0
-3.1114 -4.9137 0.2994
0.7813 -4.3224 -6.1810
3.9398 -5.7538 3.1499
Cd Au Pm
10 2 1
Direct
0.3492 0.6441 0.6574
0.6508 0.3559 0.3426
0.0066 0.6441 0.3426
0.4970 0.2150 0.7909
0.5030 0.7850 0.2091
0.9934 0.3559 0.6574
0.2880 0.2150 0.2091
0.5000 0.0000 0.5000
0.0000 0.0000 0.5000
0.7120 0.7850 0.7909
0.5000 0.5000 0.0000
0.0000 0.5000 0.0000
0.0000 0.0000 0.0000
```

Properties
E_tot = -1.74 eV/atom
Calculated formation energy = -209 kJ/mol of formula units
Spin magnetization = 0.0 μB/cell
Fermi-level density of states = 5.4 states/eV per cell

A plane-wave DFT calculation with PBE was carried out for a geometry-optimized NaTl2Pt2 structure.

```
NaTl2Pt2
1.0
4.7152 0.0000 0.0000
0.0000 4.7152 0.0000
2.3576 2.3576 5.5705
Tl Pt Na
2 2 1
Direct
0.2500 0.7500 0.5000
0.7500 0.2500 0.5000
0.6148 0.6148 0.7704
0.3852 0.3852 0.2296
0.0000 0.0000 0.0000
```

Properties
E_tot = -3.71 eV/atom
Calculated formation energy = -39 kJ/mol of formula units
Spin magnetization = 0.0 μB/cell
Fermi-level density of states = 2.7 states/eV per cell

A plane-wave DFT calculation with PBE was carried out for a geometry-optimized Na6Ag2Pb structure.

```
Na6Ag2Pb
1.0
4.0066 0.0000 0.0000
0.0000 8.6540 0.0000
0.0000 -4.3270 7.4945
Ag Na Pb
2 6 1
Direct
0.0000 0.6667 0.3334
0.0000 0.3333 0.6666
0.0000 0.7161 0.7162
0.5000 0.6154 0.0000
0.5000 0.0000 0.6153
0.0000 0.9999 0.2838
0.0000 0.2840 0.0000
0.5000 0.3847 0.3847
0.5000 0.0001 0.0000
```

Properties
E_tot = -1.95 eV/atom
Calculated formation energy = -23 kJ/mol of formula units
Spin magnetization = 0.0 μB/cell
Fermi-level density of states = 2.5 states/eV per cell

A plane-wave DFT calculation with PBE was carried out for a geometry-optimized Ce2Tm3Sn structure.

```
Ce2Tm3Sn
1.0
5.3783 0.0000 0.0000
-2.6892 4.6578 0.0000
0.0000 0.0000 6.6807
Tm Ce Sn
3 2 1
Direct
0.6667 0.3333 0.8486
0.0000 0.0000 0.5000
0.3333 0.6667 0.1514
0.6667 0.3333 0.3415
0.3333 0.6667 0.6585
0.0000 0.0000 0.0000
```

Properties
E_tot = -4.96 eV/atom
Calculated formation energy = -47 kJ/mol of formula units
Spin magnetization = 1.0 μB/cell
Fermi-level density of states = 12.0 states/eV per cell

A plane-wave DFT calculation with PBE was carried out for a geometry-optimized La4MnTl structure.

```
La4MnTl
1.0
6.1768 0.1968 -1.2374
-2.2106 7.2933 -2.5841
0.1536 -0.0704 8.0454
La Mn Tl
8 2 2
Direct
0.1151 0.3781 0.1969
0.4523 0.7359 0.0444
0.8849 0.6219 0.8031
0.3849 0.8031 0.6219
0.6151 0.1969 0.3781
0.9523 0.0444 0.7359
0.5477 0.2641 0.9556
0.0477 0.9556 0.2641
0.2500 0.0049 0.9951
0.7500 0.9951 0.0049
0.2500 0.3782 0.6218
0.7500 0.6218 0.3782
```

Properties
E_tot = -5.28 eV/atom
Calculated formation energy = -41 kJ/mol of formula units
Spin magnetization = 0.9 μB/cell
Fermi-level density of states = 15.7 states/eV per cell

A plane-wave DFT calculation with PBE was carried out for a geometry-optimized Ca3Ga2Ge3O12 structure.

```
Ca3Ga2Ge3O12
1.0
10.7478 0.0000 0.0000
-3.5826 10.1331 0.0000
-3.5826 -5.0665 8.7755
O Ca Ga Ge
48 12 8 12
Direct
0.9826 0.7986 0.8817
0.3159 0.9168 0.2986
0.1009 0.9826 0.6841
0.7014 0.5174 0.6183
0.6841 0.1009 0.9826
0.4168 0.8159 0.7986
0.6183 0.4168 0.1009
0.6009 0.9168 0.1183
0.3159 0.8991 0.0174
0.2986 0.4826 0.3817
0.4168 0.1009 0.6183
0.8991 0.0174 0.3159
0.0832 0.7014 0.6841
0.7986 0.4168 0.8159
0.6009 0.1841 0.4826
0.9826 0.6841 0.1009
0.1183 0.6009 0.9168
0.8159 0.5174 0.3991
0.8817 0.9826 0.7986
0.4826 0.6009 0.1841
0.3991 0.0832 0.8817
0.8817 0.3991 0.0832
0.7986 0.8817 0.9826
0.3991 0.8159 0.5174
0.2014 0.1183 0.0174
0.7014 0.6841 0.0832
0.5832 0.8991 0.3817
0.1009 0.6183 0.4168
0.9168 0.1183 0.6009
0.8991 0.3817 0.5832
0.3817 0.5832 0.8991
0.0174 0.2014 0.1183
0.1841 0.2014 0.5832
0.6841 0.0832 0.7014
0.2986 0.3159 0.9168
0.2014 0.5832 0.1841
0.4826 0.3817 0.2986
0.1183 0.0174 0.2014
0.0174 0.3159 0.8991
0.0832 0.8817 0.3991
0.8159 0.7986 0.4168
0.1841 0.4826 0.6009
0.9168 0.2986 0.3159
0.5174 0.6183 0.7014
0.6183 0.7014 0.5174
0.5174 0.3991 0.8159
0.3817 0.2986 0.4826
0.5832 0.1841 0.2014
0.3750 0.1250 0.2500
0.6250 0.2500 0.8750
0.7500 0.1250 0.3750
0.6250 0.8750 0.7500
0.2500 0.8750 0.6250
0.1250 0.2500 0.3750
0.1250 0.3750 0.7500
0.3750 0.7500 0.1250
0.2500 0.3750 0.1250
0.8750 0.7500 0.6250
0.8750 0.6250 0.2500
0.7500 0.6250 0.8750
0.0000 0.0000 0.5000
0.5000 0.0000 0.5000
0.0000 0.0000 0.0000
0.0000 0.5000 0.0000
0.0000 0.5000 0.5000
0.5000 0.5000 0.0000
0.5000 0.5000 0.5000
0.5000 0.0000 0.0000
0.6250 0.7500 0.3750
0.8750 0.1250 0.7500
0.7500 0.3750 0.6250
0.1250 0.7500 0.8750
0.6250 0.3750 0.2500
0.2500 0.1250 0.8750
0.7500 0.8750 0.1250
0.1250 0.8750 0.2500
0.8750 0.2500 0.1250
0.3750 0.6250 0.7500
0.3750 0.2500 0.6250
0.2500 0.6250 0.3750
```

Properties
E_tot = -6.51 eV/atom
Spin magnetization = 0.0 μB/cell
Fermi-level density of states = 0.0 states/eV per cell
Uncorrected formation energy = -2.238 eV/atom

A plane-wave DFT calculation with PBE was carried out for a geometry-optimized TlTe2Au structure.

```
TlTe2Au
1.0
4.6301 0.0000 0.0000
0.0000 4.8618 0.0000
0.0000 0.0000 4.8618
Au Te Tl
1 2 1
Direct
0.5000 0.0000 0.5000
0.0000 0.5000 0.5000
0.0000 0.0000 0.0000
0.5000 0.5000 0.0000
```

Properties
E_tot = -2.78 eV/atom
Spin magnetization = 0.0 μB/cell
Fermi-level density of states = 1.9 states/eV per cell
Uncorrected formation energy = 0.205 eV/atom

A plane-wave DFT calculation with PBE was carried out for a geometry-optimized PrZn2Cd5 structure.

```
PrZn2Cd5
1.0
4.1475 0.0000 0.0000
2.0737 6.6556 -0.1949
2.0737 1.8166 6.4058
Cd Zn Pr
5 2 1
Direct
0.3538 0.4522 0.8401
0.0000 0.5000 0.5000
0.6462 0.1599 0.5478
0.6462 0.5478 0.1599
0.3538 0.8401 0.4522
0.7339 0.7661 0.7661
0.2661 0.2339 0.2339
0.0000 0.0000 0.0000
```

Properties
E_tot = -1.66 eV/atom
Calculated formation energy = -136 kJ/mol of formula units
Spin magnetization = 0.0 μB/cell
Fermi-level density of states = 2.4 states/eV per cell

> Look up the E_tot of the fourth one.

-4.96 eV/atom

> Which formula does entry 4 have?

Ce2Tm3Sn